--- P ---
AlIrOs3: relaxed, GGA-PBE.

Lattice parameters (Å, degrees): 4.7034 4.7034 4.7034 90.00 90.00 90.00
Positions (direct):
Ir 0.0000 0.0000 0.0000
Os 0.5000 0.0000 0.0000
Os 0.0000 0.5000 0.0000
Os 0.0000 0.0000 0.5000
Al 0.5000 0.5000 0.5000

* space-group type: Pm-3m (221)
* total magnetization: 0.00 μB per formula unit


--- Q ---
AlIrOs3: relaxed, GGA-PBE.

Lattice parameters (Å, degrees): 4.3416 4.3416 4.3416 90.00 90.00 90.00
Positions (direct):
Os 0.0000 0.5000 0.0000
Os 0.5000 0.0000 0.0000
Os 0.0000 0.0000 0.5000
Ir 0.5000 0.5000 0.5000
Al 0.0000 0.0000 0.0000

* space-group type: Pm-3m (221)
* total magnetization: 0.00 μB per formula unit


Relative energy table, unit kJ/mol of atoms: P 45.2; Q 0.0